NiP2HCl | the Alexandria database | GGA-PBE | optimized geometry; E = -3.69 eV per atom; D(E_F) = 1.62 states/eV/atom; space group = P4/mmm, No. 123
1.0
-0.002 -1.644 3.025
2.933 -1.585 -0.859
3.454 4.935 2.685
Ni H P Cl
1 1 2 1
Direct
0.500 0.500 0.500
0.000 0.000 0.000
0.000 0.500 0.000
0.500 0.000 0.000
0.000 0.000 0.500